Computed, not measured: a relaxed structure of AcAlWO6 at the PBE with a Hubbard U level of DFT.

a b c (Å): 5.1605 5.1605 10.7659
angles (deg): 90.00 90.00 120.00
Sites, in units of the cell vectors:
W1 0.6667 0.3333 0.7500
O1 0.6194 0.0034 0.3510
O2 0.9966 0.6160 0.3510
Ac1 0.0000 0.0000 0.0000
O3 0.3840 0.0034 0.1490
Al1 0.6667 0.3333 0.2500
Al2 0.3333 0.6667 0.7500
O4 0.0034 0.3840 0.6490
O5 0.6194 0.6160 0.1490
O6 0.3806 0.9966 0.6490
W2 0.3333 0.6667 0.2500
O7 0.3806 0.3840 0.8510
Ac2 0.0000 0.0000 0.5000
O8 0.6160 0.6194 0.6490
O9 0.6160 0.9966 0.8510
O10 0.3840 0.3806 0.3510
O11 0.9966 0.3806 0.1490
O12 0.0034 0.6194 0.8510

- symmetry = P-31c
- calculated total energy (eV per atom) = -7.768
- magnetic moment (μB per formula unit) = 0.000